The following is a PBE calculation of a geometry-optimized BiIrO3 structure, from Alexandria via LeMat-Bulk.

Geometry as POSCAR:
```
BiIrO3
1.0
4.020 0.000 0.000
0.000 4.020 0.000
0.000 0.000 4.020
Bi Ir O
1 1 3
direct
0.500 0.500 0.500
0.000 0.000 0.000
0.000 0.500 0.000
0.000 0.000 0.500
0.500 0.000 0.000
```

Output
- E_form (uncorrected): -430 meV/atom
- VASP energy: -29.77 eV for the cell shown
- Spin magnetization: 0.000 μB per formula unit
- DOS(E_F): 3.25 states/eV/cell

---

The following is a PBE calculation of a geometry-optimized CeCl4O2 structure, from Alexandria via LeMat-Bulk.

Geometry as POSCAR:
```
CeCl4O2
1.0
-3.088 3.015 1.772
-1.230 1.223 -4.224
-2.982 -8.436 3.018
Ce Cl O
1 4 2
direct
0.000 0.000 0.000
0.098 0.681 0.195
0.902 0.319 0.805
0.404 0.825 0.807
0.596 0.175 0.193
0.255 0.476 0.509
0.745 0.524 0.491
```

Output
- E_form (uncorrected): -556 meV/atom
- VASP energy: -27.13 eV for the cell shown
- Spin magnetization: 4.362 μB per formula unit
- DOS(E_F): 5.24 states/eV/cell

---

The following is a PBE calculation of a geometry-optimized Pr2Ni4Ge3Pd structure, from Alexandria via LeMat-Bulk.

Geometry as POSCAR:
```
Pr2Ni4Ge3Pd
1.0
4.134 0.000 0.000
0.000 4.134 0.000
0.000 0.000 10.055
Pr Ni Ge Pd
2 4 3 1
direct
0.500 0.000 0.251
0.000 0.500 0.749
0.500 0.500 0.000
0.000 0.000 0.000
0.500 0.000 0.642
0.000 0.500 0.358
0.000 0.000 0.500
0.500 0.000 0.879
0.000 0.500 0.121
0.500 0.500 0.500
```

Output
- VASP energy: -57.87 eV for the cell shown
- Spin magnetization: 0.000 μB per formula unit
- DOS(E_F): 6.93 states/eV/cell

---

The following is a PBE calculation of a geometry-optimized K2Y2SiO6 structure, from Alexandria via LeMat-Bulk.

Geometry as POSCAR:
```
K2Y2SiO6
1.0
-2.367 -0.855 -5.011
-0.855 -3.714 4.113
-4.172 4.585 2.128
K Y Si O
2 2 1 6
direct
0.840 0.160 0.000
0.160 0.840 0.000
0.335 0.665 0.500
0.665 0.335 0.500
0.000 0.000 0.500
0.777 0.777 0.662
0.045 0.330 0.663
0.223 0.223 0.338
0.330 0.045 0.663
0.955 0.670 0.337
0.670 0.955 0.337
```

Output
- E_form (uncorrected): -2612 meV/atom
- VASP energy: -79.03 eV for the cell shown
- Spin magnetization: 0.000 μB per formula unit
- DOS(E_F): 0.00 states/eV/cell